Computed, not measured: a relaxed structure of Na4Ac3TmTe8 at the PBE level of DFT.

Summary:
Energy ... -4.3055 eV/atom
M_tot ... 0.000 μB per atom

Lattice parameters (Å, degrees): 9.3014 9.3014 9.3014 60.52 60.52 60.52
With the nearest neighbours (Å) after each atom.
Fractional coordinates of all 16 atoms:
Na (0.0000, 0.0000, 0.0000)  6 Te 3.47
Na (0.0000, 0.5000, 0.5000)  6 Te 3.28-3.29
Na (0.5000, 0.0000, 0.5000)  6 Te 3.28-3.29
Na (0.5000, 0.5000, 0.0000)  6 Te 3.28-3.29
Ac (0.0000, 0.0000, 0.5000)  6 Te 3.31-3.33
Ac (0.0000, 0.5000, 0.0000)  6 Te 3.31-3.33
Ac (0.5000, 0.0000, 0.0000)  6 Te 3.31-3.33
Tm (0.5000, 0.5000, 0.5000)  6 Te 3.13
Te (0.2508, 0.2508, 0.2508)  3 Na 3.29, 3 Ac 3.31
Te (0.2630, 0.2630, 0.7340)  1 Tm 3.13, 3 Na 3.28-3.47, 2 Ac 3.33
Te (0.2630, 0.7340, 0.2630)  1 Tm 3.13, 3 Na 3.28-3.47, 2 Ac 3.33
Te (0.2660, 0.7370, 0.7370)  1 Tm 3.13, 3 Na 3.28-3.47, 2 Ac 3.33
Te (0.7340, 0.2630, 0.2630)  1 Tm 3.13, 3 Na 3.28-3.47, 2 Ac 3.33
Te (0.7370, 0.2660, 0.7370)  1 Tm 3.13, 3 Na 3.28-3.47, 2 Ac 3.33
Te (0.7370, 0.7370, 0.2660)  1 Tm 3.13, 3 Na 3.28-3.47, 2 Ac 3.33
Te (0.7492, 0.7492, 0.7492)  3 Na 3.29, 3 Ac 3.31